Entry 1:
The following is a DFT calculation (GGA-PBE) of crystalline PuBiPbN at its relaxed geometry.

Values from the calculation:
- V: 24.432 Å³ per atom
- Total magnetic moment: 4.68 μB per formula unit
- Energy: -7.965 eV/atom
- Formation energy from raw total energies: -0.40 eV per atom

a b c (Å): 3.289 3.289 18.071
angles (deg): 90.00 90.00 90.00
Space group I4mm (No. 107)
One atom of each set of equivalent atoms:
1 Pu 0.000 0.000 0.000 (multiplicity 2)
2 Bi 0.000 0.000 0.342 (multiplicity 2)
3 Pb 0.000 0.000 0.665 (multiplicity 2)
4 N 0.000 0.000 0.527 (multiplicity 2)

---

Entry 2:
The following is a DFT calculation (GGA-PBE) of crystalline KBeSb2Te at its relaxed geometry.

Values from the calculation:
- V: 41.267 Å³ per atom
- Total magnetic moment: 0.00 μB per formula unit
- Energy: -1.624 eV/atom
- Formation energy from raw total energies: 1.62 eV per atom

a b c (Å): 5.908 5.908 5.912
angles (deg): 90.00 90.00 90.00
Space group P4/mmm (No. 123)
One atom of each set of equivalent atoms:
1 K 0.000 0.000 0.000 (multiplicity 1)
2 Be 0.500 0.500 0.500 (multiplicity 1)
3 Sb 0.000 0.500 0.000 (multiplicity 2)
4 Te 0.000 0.000 0.500 (multiplicity 1)

---

Entry 3:
The following is a DFT calculation (GGA-PBE) of crystalline TbSm6Cd5 at its relaxed geometry.

Values from the calculation:
- V: 28.486 Å³ per atom
- Total magnetic moment: 0.01 μB per formula unit
- Energy: -3.347 eV/atom

a b c (Å): 5.373 7.811 16.290
angles (deg): 90.00 90.00 90.00
Space group Immm (No. 71)
One atom of each set of equivalent atoms:
1 Tb 0.000 0.000 0.000 (multiplicity 2)
2 Sm 0.000 0.232 0.500 (multiplicity 4)
3 Sm 0.000 0.256 0.171 (multiplicity 8)
4 Cd 0.000 0.000 0.331 (multiplicity 4)
5 Cd 0.000 0.500 0.000 (multiplicity 2)
6 Cd 0.000 0.500 0.345 (multiplicity 4)

---

Entry 4:
The following is a DFT calculation (GGA-PBE) of crystalline DyPt4 at its relaxed geometry.

Values from the calculation:
- V: 24.513 Å³ per atom
- Total magnetic moment: 0.00 μB per formula unit
- Energy: -4.546 eV/atom

a b c (Å): 4.967 4.967 4.967
angles (deg): 90.00 90.00 90.00
Space group Pm-3m (No. 221)
One atom of each set of equivalent atoms:
1 Dy 0.000 0.000 0.000 (multiplicity 1)
2 Pt 0.000 0.000 0.500 (multiplicity 3)
3 Pt 0.500 0.500 0.500 (multiplicity 1)

---

Entry 5:
The following is a DFT calculation (GGA-PBE) of crystalline RbIn2HgPb at its relaxed geometry.

Values from the calculation:
- V: 33.266 Å³ per atom
- Total magnetic moment: 0.00 μB per formula unit
- Energy: -2.190 eV/atom

a b c (Å): 8.091 5.203 8.456
angles (deg): 90.00 110.86 90.00
Space group P2_1/m (No. 11)
One atom of each set of equivalent atoms:
1 Rb 0.158 0.250 0.204 (multiplicity 2)
2 In 0.233 0.750 0.555 (multiplicity 2)
3 In 0.385 0.750 0.982 (multiplicity 2)
4 Hg 0.479 0.750 0.359 (multiplicity 2)
5 Pb 0.173 0.250 0.741 (multiplicity 2)

---

Entry 6:
The following is a DFT calculation (GGA-PBE) of crystalline Mn7Hg at its relaxed geometry.

Values from the calculation:
- V: 14.616 Å³ per atom
- Total magnetic moment: 16.45 μB per formula unit
- Energy: -7.666 eV/atom

a b c (Å): 7.762 7.762 7.762
angles (deg): 90.00 90.00 90.00
Space group Fm-3m (No. 225)
One atom of each set of equivalent atoms:
1 Mn 0.000 0.000 0.000 (multiplicity 4)
2 Mn 0.000 0.250 0.250 (multiplicity 24)
3 Hg 0.000 0.000 0.500 (multiplicity 4)

---

Entry 7:
The following is a DFT calculation (GGA-PBE) of crystalline SmTm7Cd2 at its relaxed geometry.

Values from the calculation:
- V: 36.042 Å³ per atom
- Total magnetic moment: 2.22 μB per formula unit
- Energy: -3.359 eV/atom

a b c (Å): 8.919 15.259 5.296
angles (deg): 90.00 90.00 90.00
Space group Cmmm (No. 65)
One atom of each set of equivalent atoms:
1 Sm 0.000 0.000 0.000 (multiplicity 2)
2 Tm 0.000 0.230 0.000 (multiplicity 4)
3 Tm 0.000 0.500 0.500 (multiplicity 2)
4 Tm 0.181 0.119 0.500 (multiplicity 8)
5 Cd 0.000 0.304 0.500 (multiplicity 4)

---

Entry 8:
The following is a DFT calculation (GGA-PBE) of crystalline Th2MgSi3 at its relaxed geometry.

Values from the calculation:
- V: 21.820 Å³ per atom
- Total magnetic moment: 0.00 μB per formula unit
- Energy: -5.893 eV/atom
- Formation energy from raw total energies: -0.44 eV per atom

a b c (Å): 8.280 8.554 14.789
angles (deg): 90.00 90.00 90.00
Space group Fmmm (No. 69)
One atom of each set of equivalent atoms:
1 Th 0.241 0.000 0.000 (multiplicity 8)
2 Th 0.250 0.250 0.250 (multiplicity 8)
3 Mg 0.000 0.000 0.335 (multiplicity 8)
4 Si 0.000 0.000 0.165 (multiplicity 8)
5 Si 0.000 0.244 0.082 (multiplicity 16)

---

Question: Among the records above, which one has the highest total magnetic moment?
Answer: Mn7Hg

---

Please write out number 6 again, unchanged.
The following is a DFT calculation (GGA-PBE) of crystalline Mn7Hg at its relaxed geometry.

Values from the calculation:
- V: 14.616 Å³ per atom
- Total magnetic moment: 16.45 μB per formula unit
- Energy: -7.666 eV/atom

a b c (Å): 7.762 7.762 7.762
angles (deg): 90.00 90.00 90.00
Space group Fm-3m (No. 225)
One atom of each set of equivalent atoms:
1 Mn 0.000 0.000 0.000 (multiplicity 4)
2 Mn 0.000 0.250 0.250 (multiplicity 24)
3 Hg 0.000 0.000 0.500 (multiplicity 4)

---

Please write out number 2 again, unchanged.
The following is a DFT calculation (GGA-PBE) of crystalline KBeSb2Te at its relaxed geometry.

Values from the calculation:
- V: 41.267 Å³ per atom
- Total magnetic moment: 0.00 μB per formula unit
- Energy: -1.624 eV/atom
- Formation energy from raw total energies: 1.62 eV per atom

a b c (Å): 5.908 5.908 5.912
angles (deg): 90.00 90.00 90.00
Space group P4/mmm (No. 123)
One atom of each set of equivalent atoms:
1 K 0.000 0.000 0.000 (multiplicity 1)
2 Be 0.500 0.500 0.500 (multiplicity 1)
3 Sb 0.000 0.500 0.000 (multiplicity 2)
4 Te 0.000 0.000 0.500 (multiplicity 1)